Crystalline K2TlMoF8 at its relaxed geometry. Source: Alexandria, functional GGA+U.

Raw total energy   -4.66 eV/atom
Space group   P-1

Lattice parameters (Å, degrees): 4.4292 6.0065 8.0163 88.48 90.59 97.04
Closest atoms and distances in Å follow each position.
Sites, in units of the cell vectors:
K 0.4882 0.5059 0.7559  6 F 2.63-2.74
K 0.5118 0.4941 0.2441  6 F 2.63-2.74
Tl 0.0000 0.0000 0.5000  2 F 2.31
Mo 0.0000 0.0000 0.0000  6 F 1.97-2.07
F 0.0958 0.7897 0.1846  1 Mo 2.00
F 0.6088 0.8042 0.9938  1 Mo 1.97
F 0.9191 0.1936 0.2009  1 Mo 2.07
F 0.9042 0.2103 0.8154  1 Mo 2.00
F 0.3912 0.1958 0.0062  1 Mo 1.97
F 0.0809 0.8064 0.7991  1 Mo 2.07
F 0.5369 0.7779 0.4920  1 Tl 2.31
F 0.4631 0.2221 0.5080  1 Tl 2.31